Entry 1:
VASP calculation (GGA-PBE) on KPuWN3 after structural relaxation.

## Properties
symmetry: C2/m
ΔE_f (raw): -0.60 eV/atom

a b c (Å): 7.0130 7.0130 7.7248
angles (deg): 104.16 104.16 32.50
With the nearest neighbours (Å) after each atom.
Element x y z (fractional)
K 0.1421 0.1421 0.0619  7 N 2.86-3.19
K 0.8579 0.8579 0.9381  7 N 2.86-3.19
Pu 0.1621 0.1621 0.5825  6 N 2.26-2.53
Pu 0.8379 0.8379 0.4175  6 N 2.26-2.53
W 0.4956 0.4956 0.6724  4 N 1.94-2.12
W 0.5044 0.5044 0.3276  4 N 1.94-2.12
N 0.0115 0.0115 0.3090  2 W 1.97
N 0.3325 0.3325 0.6035  1 W 2.12, 1 Pu 2.26
N 0.3562 0.3562 0.2374  1 W 1.94
N 0.6438 0.6438 0.7626  1 W 1.94
N 0.6675 0.6675 0.3965  1 W 2.12, 1 Pu 2.26
N 0.9885 0.9885 0.6910  2 W 1.97

Entry 2:
VASP calculation (GGA-PBE) on BaTb2PtO5 after structural relaxation.

## Properties
symmetry: P4/mbm
ΔE_f (raw): -2.67 eV/atom

a b c (Å): 6.6263 6.6263 5.9503
angles (deg): 90.00 90.00 90.00
With the nearest neighbours (Å) after each atom.
Element x y z (fractional)
Ba 0.0000 0.0000 0.0000  10 O 2.98-3.00, 4 Pt 3.31
Ba 0.5000 0.5000 0.0000  10 O 2.98-3.00, 4 Pt 3.31
Tb 0.1747 0.3253 0.5000  4 O 2.25-2.45
Tb 0.3253 0.8253 0.5000  4 O 2.25-2.45
Tb 0.6747 0.1747 0.5000  4 O 2.25-2.45
Tb 0.8253 0.6747 0.5000  4 O 2.25-2.45
Pt 0.0000 0.5000 0.0000  4 O 2.03
Pt 0.5000 0.0000 0.0000  4 O 2.03
O 0.0000 0.0000 0.5000  4 Tb 2.45
O 0.1391 0.6391 0.2617  1 Pt 2.03, 1 Tb 2.25
O 0.1391 0.6391 0.7383  1 Pt 2.03, 1 Tb 2.25
O 0.3609 0.1391 0.2617  1 Pt 2.03, 1 Tb 2.25
O 0.3609 0.1391 0.7383  1 Pt 2.03, 1 Tb 2.25
O 0.5000 0.5000 0.5000  4 Tb 2.45
O 0.6391 0.8609 0.2617  1 Pt 2.03, 1 Tb 2.25
O 0.6391 0.8609 0.7383  1 Pt 2.03, 1 Tb 2.25
O 0.8609 0.3609 0.2617  1 Pt 2.03, 1 Tb 2.25
O 0.8609 0.3609 0.7383  1 Pt 2.03, 1 Tb 2.25

Entry 3:
VASP calculation (GGA-PBE) on La12Er3Pu after structural relaxation.

## Properties
E: -5.4114 eV/atom
symmetry: P4/mmm

a b c (Å): 5.1806 5.1806 20.7689
angles (deg): 90.00 90.00 90.00
With the nearest neighbours (Å) after each atom.
Element x y z (fractional)
La 0.0000 0.0000 0.0000  8 La 3.63, 4 Pu 3.66
La 0.0000 0.0000 0.2486  4 Er 3.66, 8 La 3.68-3.69
La 0.0000 0.0000 0.5000  4 Er 3.66, 8 La 3.68
La 0.0000 0.0000 0.7514  4 Er 3.66, 8 La 3.68-3.69
La 0.0000 0.5000 0.1223  8 La 3.63-3.69, 2 Pu 3.63, 2 Er 3.70
La 0.0000 0.5000 0.3744  8 La 3.66-3.68, 4 Er 3.67-3.68
La 0.0000 0.5000 0.6256  8 La 3.66-3.68, 4 Er 3.67-3.68
La 0.0000 0.5000 0.8777  8 La 3.63-3.69, 2 Pu 3.63, 2 Er 3.70
La 0.5000 0.0000 0.1223  8 La 3.63-3.69, 2 Pu 3.63, 2 Er 3.70
La 0.5000 0.0000 0.3744  8 La 3.66-3.68, 4 Er 3.67-3.68
La 0.5000 0.0000 0.6256  8 La 3.66-3.68, 4 Er 3.67-3.68
La 0.5000 0.0000 0.8777  8 La 3.63-3.69, 2 Pu 3.63, 2 Er 3.70
Er 0.5000 0.5000 0.2495  12 La 3.66-3.70
Er 0.5000 0.5000 0.5000  12 La 3.66-3.68
Er 0.5000 0.5000 0.7505  12 La 3.66-3.70
Pu 0.5000 0.5000 0.0000  12 La 3.63-3.66

Entry 4:
VASP calculation (GGA-PBE) on ErSc2Se2 after structural relaxation.

## Properties
symmetry: R-3m
ΔE_f (raw): -1.28 eV/atom

a b c (Å): 9.6326 9.6326 9.6326
angles (deg): 22.64 22.64 22.64
With the nearest neighbours (Å) after each atom.
Element x y z (fractional)
Er 0.0000 0.0000 0.0000  6 Se 2.82
Sc 0.2108 0.2108 0.2108  3 Se 2.74
Sc 0.7892 0.7892 0.7892  3 Se 2.74
Se 0.3970 0.3970 0.3970  3 Sc 2.74, 3 Er 2.82
Se 0.6030 0.6030 0.6030  3 Sc 2.74, 3 Er 2.82

Entry 5:
VASP calculation (GGA-PBE) on Tb2ErTl3 after structural relaxation.

## Properties
E: -3.8315 eV/atom
symmetry: P4/mmm

a b c (Å): 3.6641 3.6641 12.2444
angles (deg): 90.00 90.00 90.00
With the nearest neighbours (Å) after each atom.
Element x y z (fractional)
Tb 0.0000 0.0000 0.1678  8 Tl 3.31, 4 Tb 3.66
Tb 0.0000 0.0000 0.8322  8 Tl 3.31, 4 Tb 3.66
Er 0.0000 0.0000 0.5000  8 Tl 3.28, 4 Er 3.66
Tl 0.5000 0.5000 0.0000  8 Tb 3.31, 4 Tl 3.66
Tl 0.5000 0.5000 0.3360  4 Er 3.28, 4 Tb 3.31, 4 Tl 3.66
Tl 0.5000 0.5000 0.6640  4 Er 3.28, 4 Tb 3.31, 4 Tl 3.66

Entry 6:
VASP calculation (GGA-PBE) on RbZr2GaPb after structural relaxation.

## Properties
polymorph energy (0 for the lowest one): 0 meV/atom
symmetry: P4/mmm

a b c (Å): 5.2639 5.2639 5.7578
angles (deg): 90.00 90.00 90.00
With the nearest neighbours (Å) after each atom.
Element x y z (fractional)
Rb 0.0000 0.0000 0.0000  4 Pb 3.72, 8 Zr 3.90
Zr 0.0000 0.5000 0.5000  2 Ga 2.63
Zr 0.5000 0.0000 0.5000  2 Ga 2.63
Ga 0.5000 0.5000 0.5000  4 Zr 2.63, 2 Pb 2.88
Pb 0.5000 0.5000 0.0000  2 Ga 2.88

Entry 7:
VASP calculation (GGA-PBE) on Nd2DySi2 after structural relaxation.

## Properties
polymorph energy (0 for the lowest one): 67 meV/atom
symmetry: C2/m
ΔE_f (raw): -0.62 eV/atom

a b c (Å): 6.5993 6.5993 10.7496
angles (deg): 115.08 115.08 38.63
With the nearest neighbours (Å) after each atom.
Element x y z (fractional)
Nd 0.0153 0.0153 0.1884  6 Si 3.12-3.22
Nd 0.1791 0.1791 0.5901  4 Si 3.10-3.28
Nd 0.8209 0.8209 0.4099  4 Si 3.10-3.28
Nd 0.9847 0.9847 0.8116  6 Si 3.12-3.22
Dy 0.2758 0.2758 0.1342  4 Si 2.86-3.01
Dy 0.7242 0.7242 0.8658  4 Si 2.86-3.01
Si 0.3908 0.3908 0.9456  1 Si 2.43
Si 0.4887 0.4887 0.6055  1 Si 2.41
Si 0.5113 0.5113 0.3945  1 Si 2.41
Si 0.6092 0.6092 0.0544  1 Si 2.43

Entry 8:
VASP calculation (GGA-PBE) on YZr2Sn2 after structural relaxation.

## Properties
polymorph energy (0 for the lowest one): 184 meV/atom
symmetry: P4/mbm

a b c (Å): 8.7243 8.7243 3.2287
angles (deg): 90.00 90.00 90.00
With the nearest neighbours (Å) after each atom.
Element x y z (fractional)
Y 0.0000 0.0000 0.0000  2 Y 3.23, 4 Zr 3.47, 8 Sn 3.60
Y 0.5000 0.5000 0.0000  2 Y 3.23, 4 Zr 3.47, 8 Sn 3.60
Zr 0.1204 0.3796 0.0000  3 Zr 2.97-3.23, 6 Sn 2.99-3.08
Zr 0.3796 0.8796 0.0000  3 Zr 2.97-3.23, 6 Sn 2.99-3.08
Zr 0.6204 0.1204 0.0000  3 Zr 2.97-3.23, 6 Sn 2.99-3.08
Zr 0.8796 0.6204 0.0000  3 Zr 2.97-3.23, 6 Sn 2.99-3.08
Sn 0.1755 0.6755 0.5000  6 Zr 2.99-3.08, 2 Sn 3.23
Sn 0.3245 0.1755 0.5000  6 Zr 2.99-3.08, 2 Sn 3.23
Sn 0.6755 0.8245 0.5000  6 Zr 2.99-3.08, 2 Sn 3.23
Sn 0.8245 0.3245 0.5000  6 Zr 2.99-3.08, 2 Sn 3.23

Entry 9:
VASP calculation (GGA-PBE) on AlInSn2 after structural relaxation.

## Properties
polymorph energy (0 for the lowest one): 28 meV/atom
symmetry: Cm

a b c (Å): 4.3858 4.3858 6.7392
angles (deg): 106.36 106.36 62.50
With the nearest neighbours (Å) after each atom.
Element x y z (fractional)
Al 0.0000 0.0000 0.0000  6 Sn 2.89-2.91, 1 In 3.17
In 0.8453 0.8453 0.5019  6 Sn 3.11-3.23, 1 Al 3.17
Sn 0.4045 0.4045 0.2158  3 Al 2.90-2.91, 3 In 3.11-3.23
Sn 0.5935 0.5935 0.7894  3 Al 2.89-2.91, 3 In 3.12-3.17

Entry 10:
VASP calculation (GGA-PBE) on Nd3Cd5 after structural relaxation.

## Properties
polymorph energy (0 for the lowest one): 43 meV/atom
symmetry: P-62m

a b c (Å): 7.9298 7.9298 4.1151
angles (deg): 90.00 90.00 120.00
With the nearest neighbours (Å) after each atom.
Element x y z (fractional)
Nd 0.0000 0.3892 0.0000  8 Cd 3.20-3.38
Nd 0.3892 0.0000 0.0000  8 Cd 3.20-3.38
Nd 0.6108 0.6108 0.0000  8 Cd 3.20-3.38
Cd 0.0000 0.7696 0.5000  4 Cd 3.13-3.17, 4 Nd 3.38
Cd 0.2304 0.2304 0.5000  4 Cd 3.13-3.17, 4 Nd 3.38
Cd 0.3333 0.6667 0.5000  3 Cd 3.13, 6 Nd 3.20
Cd 0.6667 0.3333 0.5000  3 Cd 3.13, 6 Nd 3.20
Cd 0.7696 0.0000 0.5000  4 Cd 3.13-3.17, 4 Nd 3.38

Entry 11:
VASP calculation (GGA-PBE) on LaIN2 after structural relaxation.

## Properties
polymorph energy (0 for the lowest one): 405 meV/atom
symmetry: I-42d
ΔE_f (raw): 0.46 eV/atom

a b c (Å): 7.4737 7.4737 7.4737
angles (deg): 140.54 140.54 57.03
With the nearest neighbours (Å) after each atom.
Element x y z (fractional)
La 0.0000 0.0000 0.0000  4 N 2.47
La 0.7500 0.2500 0.5000  4 N 2.47
I 0.2500 0.7500 0.5000  4 N 2.38
I 0.5000 0.5000 0.0000  4 N 2.38
N 0.1432 0.6250 0.0182  2 I 2.38, 2 La 2.47
N 0.3750 0.3932 0.5182  2 I 2.38, 2 La 2.47
N 0.6068 0.1250 0.9818  2 I 2.38, 2 La 2.47
N 0.8750 0.8568 0.4818  2 I 2.38, 2 La 2.47

Entry 12:
VASP calculation (GGA-PBE) on Li2CoPd2 after structural relaxation.

## Properties
polymorph energy (0 for the lowest one): 46 meV/atom
symmetry: P4/mbm

a b c (Å): 6.9255 6.9255 2.8468
angles (deg): 90.00 90.00 90.00
With the nearest neighbours (Å) after each atom.
Element x y z (fractional)
Li 0.1492 0.3508 0.0000  6 Pd 2.42-2.52
Li 0.3508 0.8508 0.0000  6 Pd 2.42-2.52
Li 0.6492 0.1492 0.0000  6 Pd 2.42-2.52
Li 0.8508 0.6492 0.0000  6 Pd 2.42-2.52
Co 0.0000 0.0000 0.5000  4 Pd 2.63, 2 Co 2.85
Co 0.5000 0.5000 0.5000  4 Pd 2.63, 2 Co 2.85
Pd 0.1507 0.6507 0.5000  6 Li 2.42-2.52, 2 Co 2.63
Pd 0.3493 0.1507 0.5000  6 Li 2.42-2.52, 2 Co 2.63
Pd 0.6507 0.8493 0.5000  6 Li 2.42-2.52, 2 Co 2.63
Pd 0.8493 0.3493 0.5000  6 Li 2.42-2.52, 2 Co 2.63

Entry 13:
VASP calculation (GGA-PBE) on ErPaGa6 after structural relaxation.

## Properties
E: -4.4683 eV/atom
symmetry: P-6m2

a b c (Å): 6.2504 6.2504 4.5606
angles (deg): 90.00 90.00 120.00
With the nearest neighbours (Å) after each atom.
Element x y z (fractional)
Er 0.0000 0.0000 0.0000  12 Ga 3.02-3.13
Pa 0.6667 0.3333 0.5000  12 Ga 3.04-3.13
Ga 0.0382 0.5191 0.0000  6 Ga 2.77-2.79, 2 Pa 3.04
Ga 0.1827 0.3655 0.5000  6 Ga 2.79-2.82, 2 Er 3.02
Ga 0.1827 0.8173 0.5000  6 Ga 2.79-2.82, 2 Er 3.02
Ga 0.4809 0.5191 0.0000  6 Ga 2.77-2.79, 2 Pa 3.04
Ga 0.4809 0.9618 0.0000  6 Ga 2.77-2.79, 2 Pa 3.04
Ga 0.6345 0.8173 0.5000  6 Ga 2.79-2.82, 2 Er 3.02

Entry 14:
VASP calculation (GGA-PBE) on Tl2V2Ag after structural relaxation.

## Properties
polymorph energy (0 for the lowest one): 17 meV/atom
symmetry: P4/mbm

a b c (Å): 8.0251 8.0251 3.1527
angles (deg): 90.00 90.00 90.00
With the nearest neighbours (Å) after each atom.
Element x y z (fractional)
Tl 0.2018 0.2982 0.0000  6 V 2.85-2.96, 2 Ag 2.89, 2 Tl 3.15
Tl 0.2982 0.7982 0.0000  6 V 2.85-2.96, 2 Ag 2.89, 2 Tl 3.15
Tl 0.7018 0.2018 0.0000  6 V 2.85-2.96, 2 Ag 2.89, 2 Tl 3.15
Tl 0.7982 0.7018 0.0000  6 V 2.85-2.96, 2 Ag 2.89, 2 Tl 3.15
V 0.0890 0.5890 0.5000  1 V 2.02
V 0.4110 0.0890 0.5000  1 V 2.02
V 0.5890 0.9110 0.5000  1 V 2.02
V 0.9110 0.4110 0.5000  1 V 2.02
Ag 0.0000 0.0000 0.0000  4 Tl 2.89, 2 Ag 3.15
Ag 0.5000 0.5000 0.0000  4 Tl 2.89, 2 Ag 3.15

Entry 15:
VASP calculation (GGA-PBE) on AgSnPd2Au4 after structural relaxation.

## Properties
E: -3.7590 eV/atom
symmetry: P4/mmm

a b c (Å): 3.8430 3.8430 11.0876
angles (deg): 90.00 90.00 90.00
With the nearest neighbours (Å) after each atom.
Element x y z (fractional)
Ag 0.0000 0.0000 0.0000  8 Au 2.87
Sn 0.0000 0.0000 0.5000  8 Pd 3.02
Pd 0.5000 0.5000 0.3815  1 Pd 2.63, 4 Au 2.84
Pd 0.5000 0.5000 0.6185  1 Pd 2.63, 4 Au 2.84
Au 0.0000 0.5000 0.1925  4 Au 2.72, 2 Pd 2.84, 2 Ag 2.87
Au 0.0000 0.5000 0.8075  4 Au 2.72, 2 Pd 2.84, 2 Ag 2.87
Au 0.5000 0.0000 0.1925  4 Au 2.72, 2 Pd 2.84, 2 Ag 2.87
Au 0.5000 0.0000 0.8075  4 Au 2.72, 2 Pd 2.84, 2 Ag 2.87

Entry 16:
VASP calculation (GGA-PBE) on Ba3CdGa2O6 after structural relaxation.

## Properties
symmetry: P-3m1
ΔE_f (raw): -1.88 eV/atom

a b c (Å): 6.0868 6.0868 7.0654
angles (deg): 90.00 90.00 120.00
With the nearest neighbours (Å) after each atom.
Element x y z (fractional)
Ba 0.0000 0.0000 0.0000  6 O 2.78
Ba 0.3333 0.6667 0.6437  9 O 2.97-3.07, 1 Ga 3.21
Ba 0.6667 0.3333 0.3563  9 O 2.97-3.07, 1 Ga 3.21
Cd 0.0000 0.0000 0.5000  6 O 2.30
Ga 0.3333 0.6667 0.1888  3 O 1.87
Ga 0.6667 0.3333 0.8112  3 O 1.87
O 0.1718 0.3436 0.2989  1 Ga 1.87
O 0.1718 0.8282 0.2989  1 Ga 1.87
O 0.3436 0.1718 0.7011  1 Ga 1.87
O 0.6564 0.8282 0.2989  1 Ga 1.87
O 0.8282 0.1718 0.7011  1 Ga 1.87
O 0.8282 0.6564 0.7011  1 Ga 1.87

Entry 17:
VASP calculation (GGA-PBE) on Ag6Te4Pb after structural relaxation.

## Properties
symmetry: Fmm2
ΔE_f (raw): -0.07 eV/atom

a b c (Å): 7.5054 7.4915 7.3169
angles (deg): 60.89 60.70 58.40
With the nearest neighbours (Å) after each atom.
Element x y z (fractional)
Ag 0.0716 0.3633 0.9284  4 Te 2.87-2.97, 5 Ag 3.01-3.18
Ag 0.1090 0.1090 0.3910  4 Ag 3.04, 4 Te 3.06-3.07
Ag 0.1456 0.8544 0.1456  4 Te 2.87-2.98, 5 Ag 3.02-3.18
Ag 0.3633 0.0716 0.6367  4 Te 2.87-2.97, 5 Ag 3.01-3.18
Ag 0.6090 0.6090 0.8910  4 Ag 3.04, 4 Te 3.06-3.07
Ag 0.8544 0.1456 0.8544  4 Te 2.87-2.98, 5 Ag 3.02-3.18
Te 0.0207 0.4980 0.5020  6 Ag 2.87-3.06, 1 Pb 3.16
Te 0.1978 0.7190 0.8022  6 Ag 2.87-3.07, 1 Pb 3.15
Te 0.4980 0.0207 0.9793  6 Ag 2.87-3.06, 1 Pb 3.16
Te 0.7190 0.1978 0.2810  6 Ag 2.87-3.07, 1 Pb 3.15
Pb 0.6100 0.6100 0.3900  4 Te 3.15-3.16

Entry 18:
VASP calculation (GGA-PBE) on PuAu3 after structural relaxation.

## Properties
E: -6.3844 eV/atom
symmetry: P6_3/mmc

a b c (Å): 6.4132 6.4132 4.8199
angles (deg): 90.00 90.00 120.00
With the nearest neighbours (Å) after each atom.
Element x y z (fractional)
Pu 0.3333 0.6667 0.2500  12 Au 3.10-3.21
Pu 0.6667 0.3333 0.7500  12 Au 3.10-3.21
Au 0.1572 0.3145 0.7500  6 Au 2.98-3.03, 4 Pu 3.10-3.21
Au 0.1572 0.8428 0.7500  6 Au 2.98-3.03, 4 Pu 3.10-3.21
Au 0.3145 0.1572 0.2500  6 Au 2.98-3.03, 4 Pu 3.10-3.21
Au 0.6855 0.8428 0.7500  6 Au 2.98-3.03, 4 Pu 3.10-3.21
Au 0.8428 0.1572 0.2500  6 Au 2.98-3.03, 4 Pu 3.10-3.21
Au 0.8428 0.6855 0.2500  6 Au 2.98-3.03, 4 Pu 3.10-3.21

Entry 19:
VASP calculation (GGA-PBE) on Cs2KRb2 after structural relaxation.

## Properties
polymorph energy (0 for the lowest one): 0 meV/atom
symmetry: C2/c

a b c (Å): 9.8016 9.8016 13.2968
angles (deg): 109.45 109.45 54.14
With the nearest neighbours (Å) after each atom.
Element x y z (fractional)
Cs 0.0442 0.3494 0.1475  6 Rb 5.01-5.30, 3 K 5.11-5.16, 3 Cs 5.19-5.23
Cs 0.3494 0.0442 0.6475  6 Rb 5.01-5.30, 3 K 5.11-5.16, 3 Cs 5.19-5.23
Cs 0.6506 0.9558 0.3525  6 Rb 5.01-5.30, 3 K 5.11-5.16, 3 Cs 5.19-5.23
Cs 0.9558 0.6506 0.8525  6 Rb 5.01-5.30, 3 K 5.11-5.16, 3 Cs 5.19-5.23
K 0.1822 0.8178 0.2500  6 Rb 5.02-5.22, 6 Cs 5.11-5.16
K 0.8178 0.1822 0.7500  6 Rb 5.02-5.22, 6 Cs 5.11-5.16
Rb 0.2367 0.5755 0.5540  6 Cs 5.01-5.30, 3 Rb 5.01-5.29, 3 K 5.02-5.22
Rb 0.4245 0.7633 0.9460  6 Cs 5.01-5.30, 3 Rb 5.01-5.29, 3 K 5.02-5.22
Rb 0.5755 0.2367 0.0540  6 Cs 5.01-5.30, 3 Rb 5.01-5.29, 3 K 5.02-5.22
Rb 0.7633 0.4245 0.4460  6 Cs 5.01-5.30, 3 Rb 5.01-5.29, 3 K 5.02-5.22

Entry 20:
VASP calculation (GGA-PBE) on CaLa2Mn after structural relaxation.

## Properties
polymorph energy (0 for the lowest one): 137 meV/atom
symmetry: Cm

a b c (Å): 6.2995 6.2995 6.7004
angles (deg): 118.08 118.08 34.60
With the nearest neighbours (Å) after each atom.
Element x y z (fractional)
Ca 0.0000 0.0000 0.0000  3 Mn 3.30
La 0.6318 0.6318 0.6283  2 Mn 2.80
La 0.8252 0.8252 0.3341  2 Mn 2.85
Mn 0.2674 0.2674 0.9754  4 La 2.80-2.85